No. 1
VASP calculation (PBE) on a geometry-optimized LaSbSe2 structure.

abc: 4.1247 4.5316 6.1239
angles: 90.00 108.17 90.00
Sites, in units of the cell vectors:
1 La 0.0000 0.0000 0.0000
2 Sb 0.8843 0.5000 0.5850
3 Se 0.3387 0.0000 0.5787
4 Se 0.5261 0.5000 0.0926

Output
As for the size of the total moment: 0.00 Bohr magnetons per cell. The value obtained for the uncorrected formation energy is -1087 meV per atom. The value obtained for the offset from the most stable computed form is 40 meV/atom. For the density of states at the Fermi level, the calculation gives 0.46 states/eV/atom. The crystal system is monoclinic.

No. 2
VASP calculation (PBE) on a geometry-optimized PrH3Ru structure.

abc: 5.2826 5.7853 10.3188
angles: 90.00 120.43 90.00
Sites, in units of the cell vectors:
1 Pr 0.2179 0.1310 0.2171
2 Pr 0.2179 0.3690 0.7171
3 Pr 0.7821 0.6310 0.2829
4 Pr 0.7821 0.8690 0.7829
5 H 0.1788 0.1822 0.9248
6 H 0.1788 0.3178 0.4248
7 H 0.2811 0.6774 0.2814
8 H 0.2811 0.8226 0.7814
9 H 0.3321 0.6837 0.5744
10 H 0.3321 0.8163 0.0744
11 H 0.6679 0.1837 0.9256
12 H 0.6679 0.3163 0.4256
13 H 0.7189 0.1774 0.2186
14 H 0.7189 0.3226 0.7186
15 H 0.8212 0.6822 0.5752
16 H 0.8212 0.8178 0.0752
17 Ru 0.0913 0.6474 0.0902
18 Ru 0.0913 0.8526 0.5902
19 Ru 0.9087 0.1474 0.4098
20 Ru 0.9087 0.3526 0.9098

Output
As for the size of the total moment: 0.00 Bohr magnetons per cell. The calculation puts the electronic total energy at -5.03 eV per atom. For the density of states at the Fermi level, the calculation gives 0.33 states/eV/atom. The crystal system is monoclinic.

No. 3
VASP calculation (PBE) on a geometry-optimized Cs2YB2S6 structure.

abc: 8.8921 8.8921 8.8921
angles: 44.84 44.84 44.84
Sites, in units of the cell vectors:
1 Cs 0.2094 0.2094 0.2094
2 Cs 0.7906 0.7906 0.7906
3 Y 0.0000 0.0000 0.0000
4 B 0.4017 0.4017 0.4017
5 B 0.5983 0.5983 0.5983
6 S 0.2526 0.2526 0.7145
7 S 0.2526 0.7145 0.2526
8 S 0.2855 0.7474 0.7474
9 S 0.7145 0.2526 0.2526
10 S 0.7474 0.2855 0.7474
11 S 0.7474 0.7474 0.2855

Output
As for the size of the total moment: 0.00 Bohr magnetons per cell. The value obtained for the uncorrected formation energy is -981 meV per atom. For the density of states at the Fermi level, the calculation gives 0.47 states/eV/atom. The crystal system is trigonal.